## GaMoAu3 (PBEsol)

Data for GaMoAu3 after structural relaxation.

Energy of formation ... 1139 meV per atom

Lattice parameters (Å, degrees): 4.985 4.985 4.985 90.00 90.00 90.00
Positions (direct):
Mo1 0.000 0.000 0.000
Au1 0.000 0.500 0.000
Au2 0.500 0.000 0.000
Au3 0.000 0.000 0.500
Ga1 0.500 0.500 0.500



## Er5Ni2Te2 (PBEsol)

Data for Er5Ni2Te2 after structural relaxation.

E_form (uncorrected) ... -7.6 eV/f.u.

Lattice parameters (Å, degrees): 3.888 7.571 14.600 90.00 90.00 104.88
Positions (direct):
Er1 0.041 0.082 0.124
Er2 0.741 0.482 0.128
Er3 0.394 0.788 0.250
Er4 0.959 0.918 0.624
Er5 0.041 0.082 0.376
Er6 0.959 0.918 0.876
Er7 0.259 0.518 0.872
Er8 0.259 0.518 0.628
Er9 0.741 0.482 0.372
Er10 0.606 0.212 0.750
Ni1 0.413 0.825 0.750
Ni2 0.187 0.374 0.250
Ni3 0.813 0.626 0.750
Ni4 0.587 0.175 0.250
Te1 0.385 0.770 0.460
Te2 0.385 0.770 0.040
Te3 0.615 0.230 0.960
Te4 0.615 0.230 0.540



## Zn3P2H2O9 (PBEsol)

Data for Zn3P2H2O9 after structural relaxation.

Lattice parameters (Å, degrees): 4.868 8.691 16.754 95.50 90.00 90.00
Positions (direct):
P1 0.789 0.313 0.055
P2 0.289 0.687 0.445
P3 0.211 0.687 0.945
P4 0.495 0.238 0.282
P5 0.995 0.762 0.218
P6 0.711 0.313 0.555
P7 0.005 0.238 0.782
P8 0.505 0.762 0.718
Zn1 0.990 0.922 0.820
Zn2 0.705 0.568 0.847
Zn3 0.490 0.078 0.680
Zn4 0.010 0.078 0.180
Zn5 0.795 0.568 0.347
Zn6 0.510 0.922 0.320
Zn7 0.797 0.671 0.557
Zn8 0.205 0.432 0.653
Zn9 0.703 0.671 0.057
Zn10 0.295 0.432 0.153
Zn11 0.203 0.329 0.443
Zn12 0.297 0.329 0.943
O1 0.730 0.972 0.915
O2 0.857 0.462 0.595
O3 0.672 0.275 0.970
O4 0.828 0.275 0.470
O5 0.172 0.725 0.530
O6 0.150 0.195 0.859
O7 0.357 0.538 0.905
O8 0.230 0.028 0.585
O9 0.675 0.094 0.257
O10 0.250 0.819 0.894
O11 0.766 0.742 0.283
O12 0.270 0.028 0.085
O13 0.643 0.462 0.095
O14 0.350 0.195 0.359
O15 0.825 0.094 0.757
O16 0.099 0.360 0.048
O17 0.328 0.725 0.030
O18 0.599 0.640 0.452
O19 0.266 0.258 0.217
O20 0.750 0.181 0.606
O21 0.143 0.538 0.405
O22 0.734 0.742 0.783
O23 0.401 0.360 0.548
O24 0.250 0.819 0.394
O25 0.750 0.181 0.106
O26 0.770 0.972 0.415
O27 0.338 0.614 0.710
O28 0.162 0.614 0.210
O29 0.175 0.906 0.243
O30 0.662 0.386 0.290
O31 0.901 0.640 0.952
O32 0.325 0.906 0.743
O33 0.850 0.805 0.141
O34 0.234 0.258 0.717
O35 0.838 0.386 0.790
O36 0.650 0.805 0.641
H1 0.210 0.915 0.567
H2 0.710 0.085 0.933
H3 0.543 0.927 0.905
H4 0.957 0.927 0.405
H5 0.457 0.073 0.095
H6 0.043 0.073 0.595
H7 0.790 0.085 0.433
H8 0.290 0.915 0.067



## YSc2Be (PBEsol)

Data for YSc2Be after structural relaxation.

Energy of formation ... 85 meV per atom

Lattice parameters (Å, degrees): 3.403 4.768 5.997 113.43 106.48 90.00
Positions (direct):
Be1 0.261 0.261 0.521
Sc1 0.952 0.452 0.904
Sc2 0.749 0.749 0.499
Y1 0.538 0.038 0.075



## Be3Os (PBEsol)

Data for Be3Os after structural relaxation.

Energy of formation ... 83 meV per atom

Lattice parameters (Å, degrees): 4.279 4.279 4.279 90.00 90.00 90.00
Positions (direct):
Be1 0.500 0.000 0.250
Be2 0.000 0.750 0.500
Be3 0.000 0.250 0.500
Be4 0.250 0.500 0.000
Be5 0.500 0.000 0.750
Be6 0.750 0.500 0.000
Os1 0.000 0.000 0.000
Os2 0.500 0.500 0.500



## FeAsHBr2 (PBEsol)

Data for FeAsHBr2 after structural relaxation.

Lattice parameters (Å, degrees): 3.445 4.955 4.955 90.00 90.00 90.00
Positions (direct):
Fe1 0.500 0.500 0.500
Br1 0.000 0.500 0.000
Br2 0.000 0.000 0.500
H1 0.000 0.000 0.000
As1 0.500 0.000 0.000



## Ti3SiSe (PBEsol)

Data for Ti3SiSe after structural relaxation.

E_form (uncorrected) ... 0.7 eV/f.u.

Lattice parameters (Å, degrees): 4.565 4.565 4.565 90.00 90.00 90.00
Positions (direct):
Si1 0.500 0.500 0.500
Ti1 0.000 0.000 0.500
Ti2 0.000 0.500 0.000
Ti3 0.500 0.000 0.000
Se1 0.000 0.000 0.000



## SrInAu2 (PBEsol)

Data for SrInAu2 after structural relaxation.

Energy of formation ... -549 meV per atom

Lattice parameters (Å, degrees): 4.729 4.729 5.716 65.60 65.60 60.02
Positions (direct):
Au1 0.289 0.289 0.633
Au2 0.711 0.711 0.367
In1 0.000 0.000 0.500
Sr1 0.500 0.500 0.000



Number 1: total magnetic moment 0.00 Bohr magnetons per cell, DFT total energy -21.2 eV/cell, theoretical density 10.14 g cm⁻³. Number 2: total magnetic moment 0.00 Bohr magnetons per cell, DFT total energy -103.2 eV/cell, theoretical density 9.67 g cm⁻³. Number 3: total magnetic moment 0.00 Bohr magnetons per cell, DFT total energy -394.5 eV/cell, theoretical density 3.81 g cm⁻³. Number 4: total magnetic moment 0.00 Bohr magnetons per cell, DFT total energy -23.7 eV/cell, theoretical density 3.67 g cm⁻³. Number 5: total magnetic moment 0.00 Bohr magnetons per cell, DFT total energy -47.8 eV/cell, theoretical density 9.21 g cm⁻³. Number 6: total magnetic moment 3.23 Bohr magnetons per cell, DFT total energy -17.7 eV/cell, theoretical density 5.72 g cm⁻³. Number 7: total magnetic moment 0.00 Bohr magnetons per cell, DFT total energy -33.8 eV/cell, theoretical density 4.37 g cm⁻³. Number 8: total magnetic moment 0.00 Bohr magnetons per cell, DFT total energy -14.9 eV/cell, theoretical density 10.18 g cm⁻³.